# PBE-GGA LaSe, relaxed
# Uncorrected formation energy   -3.44 eV/f.u.
# V   34.34 Å³ per atom
# Calculated total energy   -11.847 eV per formula unit
# DOS at the Fermi energy   1.21 states/eV/f.u.
# Total moment   2.17 Bohr magnetons per cell
# Symmetry   I4/m
data_LaSe
_chemical_formula_sum 'La8 Se8'
_space_group_name_H-M_alt 'P 1'
_space_group_IT_number 1
_space_group_name_Hall 'P 1'
_cell_length_a 9.564
_cell_length_b 9.564
_cell_length_c 6.006
_cell_angle_alpha 90.00
_cell_angle_beta 90.00
_cell_angle_gamma 90.00
loop_
_atom_site_label
_atom_site_type_symbol
_atom_site_fract_x
_atom_site_fract_y
_atom_site_fract_z
La1 La 0.306 0.895 0.000
La2 La 0.694 0.105 0.000
La3 La 0.105 0.306 0.000
La4 La 0.895 0.694 0.000
La5 La 0.806 0.395 0.500
La6 La 0.194 0.605 0.500
La7 La 0.605 0.806 0.500
La8 La 0.395 0.194 0.500
Se1 Se 0.402 0.204 0.000
Se2 Se 0.598 0.796 0.000
Se3 Se 0.796 0.402 0.000
Se4 Se 0.204 0.598 0.000
Se5 Se 0.902 0.704 0.500
Se6 Se 0.098 0.296 0.500
Se7 Se 0.296 0.902 0.500
Se8 Se 0.704 0.098 0.500